# InNi2Au GGA-PBEsol optimized geometry
data_InNi2Au
_symmetry_space_group_name_H-M 'P 4/m m m'
_symmetry_Int_Tables_number 123
_symmetry_space_group_name_Hall '-P 4 2'
_cell_length_a 3.159
_cell_length_b 3.159
_cell_length_c 5.683
_cell_angle_alpha 90.00
_cell_angle_beta 90.00
_cell_angle_gamma 90.00
loop_
_atom_site_label
_atom_site_type_symbol
_atom_site_fract_x
_atom_site_fract_y
_atom_site_fract_z
In1 In 0.000 0.000 0.000
Ni1 Ni 0.500 0.500 0.251
Au1 Au 0.000 0.000 0.500
# Total magnetization (μB/f.u.): 0.0
# ΔH_f (0 K) (eV/atom): -0.07